Entry a
PBE Ce2Zn2Hg3, relaxed; volume = 23.692 Å³ per atom; size of the total moment = 2.41 Bohr magnetons per cell
1.0
2.266 -10.890 0.000
2.266 10.890 0.000
0.000 0.000 3.360
Ce Zn Hg
2 2 3
Cartesian
2.266 7.452 0.000
2.266 -7.452 0.000
2.266 4.812 1.680
2.266 -4.812 1.680
0.000 0.000 0.000
2.266 1.670 1.680
2.266 -1.670 1.680



Entry b
PBE Ce2Zn2Hg3, relaxed; volume = 24.278 Å³ per atom; size of the total moment = 4.97 Bohr magnetons per cell
1.0
2.261 -10.137 0.000
2.261 10.137 0.000
0.000 0.000 7.413
Ce Zn Hg
4 4 6
Cartesian
2.261 9.078 5.560
2.261 6.819 1.853
2.261 -6.819 5.560
2.261 -9.078 1.853
2.261 3.850 0.468
2.261 3.850 3.238
2.261 -3.850 4.175
2.261 -3.850 6.945
2.261 5.629 5.560
2.261 1.345 4.146
2.261 1.345 6.974
2.261 -1.345 0.440
2.261 -1.345 3.267
2.261 -5.629 1.853



The most stable arrangement is entry b, and the next structure is 10 meV per atom less stable.